Entry 1:
Material: Tb3Ce3ScS8
Method: DFT, PBE-GGA
State: relaxed

Properties
M_tot ... 0.2239 μB per atom
Raw formation energy ... -2.0332 eV/atom
Electronic total energy ... -6.77 eV/atom

Lattice parameters (Å, degrees): 7.8699 7.8699 19.5689 90.00 90.00 120.00
Closest atoms and distances in Å follow each position.
Space group R-3m (No. 166, hexagonal axes)
Asymmetric unit:
Tb  0.0000  0.5000  0.0000 (multiplicity 9)  6 S 2.76
Ce  0.0000  0.5000  0.5000 (multiplicity 9)  6 S 2.83
Sc  0.0000  0.0000  0.0000 (multiplicity 3)  6 S 2.68
S  0.0000  0.0000  0.2533 (multiplicity 6)  3 Tb 2.76, 3 Ce 2.83
S  0.0103  0.5051  0.7444 (multiplicity 18)  1 Sc 2.68, 2 Tb 2.76, 2 Ce 2.83

=====

Entry 2:
Material: HfZrCd
Method: DFT, PBE-GGA
State: relaxed

Properties
M_tot ... 0.0000 μB per atom
Formation energy from the elements ... -0.070 eV/atom
E above lowest polymorph ... 0.0251 eV/atom
Electronic total energy ... -6.54 eV/atom

Lattice parameters (Å, degrees): 3.1787 3.1787 13.2095 90.00 90.00 90.00
Closest atoms and distances in Å follow each position.
Space group P4/nmm (No. 129, origin choice 2)
Asymmetric unit:
Hf  0.2500  0.2500  0.0825 (multiplicity 2)  8 Hf 3.13-3.18, 4 Zr 3.17
Zr  0.2500  0.2500  0.7481 (multiplicity 2)  4 Cd 3.17, 4 Hf 3.17, 4 Zr 3.18
Cd  0.2500  0.2500  0.4207 (multiplicity 2)  8 Cd 3.07-3.18, 4 Zr 3.17